1.
TaReOs | Alexandria | SCAN | single point on PBEsol structure; space-group type = F-43m (216); DOS at the Fermi energy = 2.3 states/eV/cell; crystal system = cubic; ρ = 17.09 g/cm3; ΔH_f (0 K) = 1.29 eV per formula unit
1.0
0.000 3.003 3.003
3.003 0.000 3.003
3.003 3.003 0.000
Ta Re Os
1 1 1
Direct
0.000 0.000 0.000
0.750 0.750 0.750
0.500 0.500 0.500

---

2.
Mg2TaSi | Alexandria | SCAN | single point on PBEsol structure; space-group type = I-4m2 (119); DOS at the Fermi energy = 3.0 states/eV/cell; energy relative to the elements, uncorrected = 0.174 eV/atom; crystal system = tetragonal; ρ = 6.36 g/cm3
1.0
-1.982 1.982 4.278
1.982 -1.982 4.278
1.982 1.982 -4.278
Mg Ta Si
2 1 1
Direct
0.000 0.000 0.000
0.750 0.250 0.500
0.250 0.750 0.500
0.500 0.500 0.000

---

3.
HfGeSe | Alexandria | SCAN | single point on PBEsol structure; space-group type = P4/nmm (129); DOS at the Fermi energy = 0.9 states/eV/cell; energy relative to the elements, uncorrected = -1.019 eV/atom; crystal system = tetragonal; ρ = 10.02 g/cm3
1.0
3.673 0.000 0.000
0.000 3.673 0.000
0.000 0.000 8.112
Hf Ge Se
2 2 2
Direct
0.250 0.250 0.237
0.750 0.750 0.763
0.250 0.750 0.500
0.750 0.250 0.500
0.250 0.250 0.881
0.750 0.750 0.119

---

4.
CuHgAuN2 | Alexandria | SCAN | single point on PBEsol structure; space-group type = P4/mmm (123); DOS at the Fermi energy = 1.5 states/eV/cell; energy relative to the elements, uncorrected = 2.099 eV/atom; crystal system = tetragonal; ρ = 9.59 g/cm3
1.0
4.084 0.000 0.000
0.000 4.084 0.000
0.000 0.000 5.078
Cu Hg Au N
1 1 1 2
Direct
0.000 0.000 0.000
0.000 0.000 0.500
0.500 0.500 0.000
0.000 0.500 0.500
0.500 0.000 0.500

---

5.
Tb3Ga8Rh3 | Alexandria | SCAN | single point on PBEsol structure; space-group type = Immm (71); DOS at the Fermi energy = 7.0 states/eV/cell; crystal system = orthorhombic; ρ = 9.17 g/cm3; ΔH_f (0 K) = -11.63 eV per formula unit
1.0
-2.071 4.818 6.093
2.071 -4.818 6.093
2.071 4.818 -6.093
Tb Ga Rh
3 8 3
Direct
0.000 0.000 0.000
0.328 0.328 0.000
0.672 0.672 0.000
0.039 0.669 0.370
0.159 0.877 0.283
0.300 0.669 0.630
0.406 0.123 0.283
0.594 0.877 0.717
0.700 0.331 0.370
0.841 0.123 0.717
0.961 0.331 0.630
0.281 0.500 0.781
0.500 0.000 0.500
0.719 0.500 0.219

---

6.
GeSb2TeO | Alexandria | SCAN | single point on PBEsol structure; space-group type = P4/mmm (123); DOS at the Fermi energy = 3.8 states/eV/cell; energy relative to the elements, uncorrected = 1.061 eV/atom; crystal system = tetragonal; ρ = 5.27 g/cm3
1.0
5.231 0.000 0.000
0.000 5.231 0.000
0.000 0.000 5.299
Ge Sb Te O
1 2 1 1
Direct
0.000 0.000 0.000
0.000 0.500 0.000
0.500 0.000 0.000
0.000 0.000 0.500
0.500 0.500 0.500

---

7.
NaHgI3 | Alexandria | SCAN | single point on PBEsol structure; space-group type = Pm-3m (221); DOS at the Fermi energy = 6.0 states/eV/cell; energy relative to the elements, uncorrected = -0.121 eV/atom; crystal system = cubic; ρ = 5.07 g/cm3
1.0
5.828 0.000 0.000
0.000 5.828 0.000
0.000 0.000 5.828
Na Hg I
1 1 3
Direct
0.000 0.000 0.000
0.500 0.500 0.500
0.000 0.000 0.500
0.000 0.500 0.000
0.500 0.000 0.000

---

8.
Ta4Ag2O11 | Alexandria | SCAN | single point on PBEsol structure; space-group type = R-3c (167); DOS at the Fermi energy = 0.0 states/eV/cell; energy relative to the elements, uncorrected = -2.551 eV/atom; crystal system = trigonal; ρ = 9.04 g/cm3
1.0
3.095 1.787 12.355
-3.095 1.787 12.355
0.000 -3.574 12.355
Ta Ag O
8 4 22
Direct
0.000 0.000 0.000
0.116 0.750 0.384
0.250 0.616 0.884
0.384 0.116 0.750
0.500 0.500 0.500
0.616 0.884 0.250
0.750 0.384 0.116
0.884 0.250 0.616
0.170 0.170 0.170
0.330 0.330 0.330
0.670 0.670 0.670
0.830 0.830 0.830
0.001 0.499 0.750
0.064 0.754 0.275
0.094 0.094 0.094
0.225 0.746 0.436
0.246 0.725 0.936
0.250 0.999 0.501
0.254 0.564 0.775
0.275 0.064 0.754
0.406 0.406 0.406
0.436 0.225 0.746
0.499 0.750 0.001
0.501 0.250 0.999
0.564 0.775 0.254
0.594 0.594 0.594
0.725 0.936 0.246
0.746 0.436 0.225
0.750 0.001 0.499
0.754 0.275 0.064
0.775 0.254 0.564
0.906 0.906 0.906
0.936 0.246 0.725
0.999 0.501 0.250

---

- What is the formula in the fifth record?
  Tb3Ga8Rh3

---

- Among the records above, which one has the lowest ρ?
  NaHgI3

---

- Look up the ρ of the seventh one.
  5.07 g/cm3